Entry 1:
{"formula": "TeIrRuI2", "functional": "PBE-GGA", "state": "relaxed", "de_polymorph_mev_per_atom": 0, "e_form_raw_mev_per_atom": 1215.1, "density_g_cm3": 7.213, "lattice": [[5.5322, 0.0000, 0.0000], [0.0000, 5.5322, 0.0000], [0.0000, 0.0000, 5.0753]], "species": ["I", "I", "Ru", "Ir", "Te"], "fractional_positions": [[0.0000, 0.5000, 0.0000], [0.5000, 0.0000, 0.0000], [0.5000, 0.5000, 0.5000], [0.0000, 0.0000, 0.0000], [0.0000, 0.0000, 0.5000]]}


Entry 2:
{"formula": "Tm2Tl3Cl9", "functional": "PBE-GGA", "state": "relaxed", "e_form_raw_mev_per_atom": -1739.1, "density_g_cm3": 4.813, "lattice": [[-2.5060, 1.0834, -9.2194], [-9.3996, -1.4807, 1.3802], [-2.3394, 9.2977, 0.7277]], "species": ["Tm", "Tm", "Tm", "Tm", "Tl", "Tl", "Tl", "Tl", "Tl", "Tl", "Cl", "Cl", "Cl", "Cl", "Cl", "Cl", "Cl", "Cl", "Cl", "Cl", "Cl", "Cl", "Cl", "Cl", "Cl", "Cl", "Cl", "Cl"], "fractional_positions": [[0.1474, 0.1474, 0.1474], [0.6474, 0.6474, 0.6474], [0.8526, 0.8526, 0.8526], [0.3526, 0.3526, 0.3526], [0.4436, 0.7500, 0.0564], [0.2500, 0.9436, 0.5564], [0.9436, 0.5564, 0.2500], [0.0564, 0.4436, 0.7500], [0.7500, 0.0564, 0.4436], [0.5564, 0.2500, 0.9436], [0.7250, 0.9318, 0.0776], [0.0682, 0.9224, 0.2750], [0.2500, 0.4024, 0.0976], [0.5682, 0.7750, 0.4224], [0.5976, 0.9024, 0.7500], [0.9024, 0.7500, 0.5976], [0.2250, 0.5776, 0.4318], [0.5776, 0.4318, 0.2250], [0.9224, 0.2750, 0.0682], [0.0776, 0.7250, 0.9318], [0.4224, 0.5682, 0.7750], [0.4024, 0.0976, 0.2500], [0.7750, 0.4224, 0.5682], [0.0976, 0.2500, 0.4024], [0.4318, 0.2250, 0.5776], [0.7500, 0.5976, 0.9024], [0.9318, 0.0776, 0.7250], [0.2750, 0.0682, 0.9224]]}


Entry 3:
{"formula": "Y12Er6Pu", "functional": "PBE-GGA", "state": "relaxed", "formation_enthalpy_0k_mev_per_atom": 39.1, "density_g_cm3": 6.430, "lattice": [[8.8550, -0.6040, -3.0203], [-4.0368, 7.9045, -3.0203], [-0.3986, -0.6040, 9.3474]], "species": ["Y", "Y", "Y", "Y", "Y", "Y", "Y", "Y", "Y", "Y", "Y", "Y", "Er", "Er", "Er", "Er", "Er", "Er", "Pu"], "fractional_positions": [[0.3739, 0.0585, 0.5832], [0.0585, 0.5832, 0.3739], [0.5832, 0.3739, 0.0585], [0.6261, 0.9415, 0.4168], [0.9415, 0.4168, 0.6261], [0.4168, 0.6261, 0.9415], [0.1045, 0.1553, 0.7384], [0.2616, 0.8955, 0.8447], [0.8447, 0.2616, 0.8955], [0.8955, 0.8447, 0.2616], [0.7384, 0.1045, 0.1553], [0.1553, 0.7384, 0.1045], [0.2100, 0.3138, 0.4697], [0.6862, 0.5303, 0.7900], [0.5303, 0.7900, 0.6862], [0.7900, 0.6862, 0.5303], [0.3138, 0.4697, 0.2100], [0.4697, 0.2100, 0.3138], [0.0000, 0.0000, 0.0000]]}


Entry 4:
{"formula": "K4LaHo3Se8", "functional": "PBE-GGA", "state": "relaxed", "e_form_raw_mev_per_atom": -1772.0, "density_g_cm3": 4.889, "lattice": [[-6.3207, -5.7072, 0.2038], [0.9498, -1.3722, -8.9701], [6.8613, -1.0654, 4.9355]], "species": ["K", "K", "K", "K", "La", "Ho", "Ho", "Ho", "Se", "Se", "Se", "Se", "Se", "Se", "Se", "Se"], "fractional_positions": [[0.5000, 0.0000, 0.0000], [0.5000, 0.0000, 0.5000], [0.0000, 0.0000, 0.0000], [0.0000, 0.0000, 0.5000], [0.0000, 0.5000, 0.0000], [0.5000, 0.5000, 0.0000], [0.5000, 0.5000, 0.5000], [0.0000, 0.5000, 0.5000], [0.2413, 0.7068, 0.9656], [0.2413, 0.7068, 0.4825], [0.2656, 0.2969, 0.5312], [0.7243, 0.7068, 0.9656], [0.2757, 0.2932, 0.0344], [0.7344, 0.7031, 0.4688], [0.7587, 0.2932, 0.5175], [0.7587, 0.2932, 0.0344]]}


Entry 5:
{"formula": "CoNi2Hg", "functional": "PBE-GGA", "state": "relaxed", "formation_enthalpy_0k_mev_per_atom": 360.0, "density_g_cm3": 11.299, "lattice": [[8.5851, 0.0180, 0.0106], [8.1378, 2.7348, 0.0106], [8.1378, 1.3396, 2.3843]], "species": ["Co", "Hg", "Ni", "Ni"], "fractional_positions": [[0.2500, 0.2500, 0.2500], [0.7500, 0.7500, 0.7500], [0.9907, 0.9907, 0.9907], [0.5093, 0.5093, 0.5093]]}


Entry 6:
{"formula": "YHoSe2", "functional": "PBE-GGA", "state": "relaxed", "de_polymorph_mev_per_atom": 5, "e_form_raw_mev_per_atom": -1737.9, "density_g_cm3": 7.089, "lattice": [[-1.2791, -0.8301, 3.6528], [-1.6619, -3.5101, 0.7650], [5.4041, -4.1144, 3.1020]], "species": ["Y", "Ho", "Se", "Se"], "fractional_positions": [[0.6718, 0.6718, 0.9846], [0.4950, 0.4950, 0.5150], [0.0826, 0.0826, 0.7521], [0.2505, 0.2505, 0.2484]]}


Entry 7:
{"formula": "Re2Cl4O5", "functional": "PBE-GGA", "state": "relaxed", "e_form_raw_mev_per_atom": -1093.6, "density_g_cm3": 3.386, "lattice": [[-0.1868, 2.1779, 5.9752], [-2.9923, -7.0380, -4.3936], [7.7945, -0.2034, 4.3887]], "species": ["Re", "Re", "Cl", "Cl", "Cl", "Cl", "O", "O", "O", "O", "O"], "fractional_positions": [[0.0614, 0.0816, 0.7309], [0.9386, 0.9184, 0.2691], [0.5814, 0.3182, 0.6348], [0.4742, 0.1772, 0.2341], [0.4186, 0.6818, 0.3652], [0.5258, 0.8228, 0.7659], [0.8978, 0.6889, 0.0894], [0.9175, 0.0641, 0.2114], [0.0000, 0.0000, 0.5000], [0.0825, 0.9359, 0.7886], [0.1022, 0.3111, 0.9106]]}


Entry 8:
{"formula": "SmHo3Sc2Se6", "functional": "PBE-GGA", "state": "relaxed", "e_form_raw_mev_per_atom": -1684.9, "density_g_cm3": 7.285, "lattice": [[-0.7926, 6.9182, -0.3232], [-3.5377, -3.7142, 4.7204], [6.3554, -0.3066, 2.8127]], "species": ["Sm", "Ho", "Ho", "Ho", "Sc", "Sc", "Se", "Se", "Se", "Se", "Se", "Se"], "fractional_positions": [[0.0000, 0.0000, 0.0000], [0.1575, 0.8425, 0.5000], [0.8425, 0.1575, 0.5000], [0.5000, 0.5000, 0.5000], [0.3362, 0.6638, 0.0000], [0.6638, 0.3362, 0.0000], [0.9186, 0.5691, 0.7532], [0.7319, 0.7319, 0.2400], [0.0814, 0.4309, 0.2468], [0.5691, 0.9186, 0.7532], [0.2681, 0.2681, 0.7600], [0.4309, 0.0814, 0.2468]]}


Entry 9:
{"formula": "Mg3Al2N4", "functional": "PBE-GGA", "state": "relaxed", "e_form_raw_mev_per_atom": -949.8, "density_g_cm3": 3.047, "lattice": [[-1.9468, -1.5767, -5.6507], [-1.2961, -3.6616, 6.1515], [-4.5977, 2.8914, 0.7524]], "species": ["Mg", "Mg", "Mg", "Mg", "Mg", "Mg", "Al", "Al", "Al", "Al", "N", "N", "N", "N", "N", "N", "N", "N"], "fractional_positions": [[0.2247, 0.9875, 0.9691], [0.7753, 0.7627, 0.5309], [0.7753, 0.0125, 0.0309], [0.2247, 0.2373, 0.4691], [0.0000, 0.5981, 0.7500], [0.0000, 0.4019, 0.2500], [0.6201, 0.1861, 0.6065], [0.3799, 0.5660, 0.8935], [0.3799, 0.8139, 0.3935], [0.6201, 0.4340, 0.1065], [0.2399, 0.9566, 0.5656], [0.7601, 0.7167, 0.9344], [0.7601, 0.0434, 0.4344], [0.2399, 0.2833, 0.0656], [0.7168, 0.2671, 0.9331], [0.2832, 0.5503, 0.5669], [0.2832, 0.7329, 0.0669], [0.7168, 0.4497, 0.4331]]}


Entry 10:
{"formula": "KTl2BiPb", "functional": "PBE-GGA", "state": "relaxed", "formation_enthalpy_0k_mev_per_atom": -107.4, "density_g_cm3": 7.747, "lattice": [[4.4892, 0.0000, 0.0000], [0.0000, 5.6589, 0.0000], [-2.2446, -2.8294, 7.2908]], "species": ["K", "Tl", "Tl", "Bi", "Pb"], "fractional_positions": [[0.4344, 0.4344, 0.8687], [0.7161, 0.2161, 0.4323], [0.0545, 0.0545, 0.1089], [0.8303, 0.8303, 0.6607], [0.1768, 0.6768, 0.3537]]}


Entry 11:
{"formula": "Dy2P3Pd3", "functional": "PBE-GGA", "state": "relaxed", "formation_enthalpy_0k_mev_per_atom": -983.8, "density_g_cm3": 7.615, "lattice": [[7.9142, 0.0000, 0.0000], [0.0000, 5.9316, 3.4242], [0.0000, 0.0004, 6.8489]], "species": ["Dy", "Dy", "Dy", "Dy", "P", "P", "P", "P", "P", "P", "Pd", "Pd", "Pd", "Pd", "Pd", "Pd"], "fractional_positions": [[0.0000, 0.3333, 0.3333], [0.5000, 0.6667, 0.6667], [0.0000, 0.6667, 0.6667], [0.5000, 0.3333, 0.3333], [0.7500, 0.0000, 0.6147], [0.7500, 0.6147, 0.3853], [0.7500, 0.3853, 0.0000], [0.2500, 0.0000, 0.3853], [0.2500, 0.3853, 0.6147], [0.2500, 0.6147, 0.0000], [0.7500, 0.0000, 0.2671], [0.7500, 0.2671, 0.7329], [0.7500, 0.7329, 0.0000], [0.2500, 0.0000, 0.7329], [0.2500, 0.7329, 0.2671], [0.2500, 0.2671, 0.0000]]}